No. 1
## Na2PuPb2O6 (PBE)

Data for a geometry-optimized Na2PuPb2O6 structure.

Unit cell a=5.8970 b=5.8970 c=6.2054 alpha=101.39 beta=101.39 gamma=114.36
Positions (direct):
Na (0.1535, 0.8465, 0.0000)
Na (0.8465, 0.1535, 0.0000)
Pu (0.5000, 0.5000, 0.0000)
Pb (0.3234, 0.6766, 0.5000)
Pb (0.6766, 0.3234, 0.5000)
O (0.1578, 0.4559, 0.7966)
O (0.3046, 0.3046, 0.2301)
O (0.4559, 0.1578, 0.7966)
O (0.5441, 0.8422, 0.2034)
O (0.6954, 0.6954, 0.7699)
O (0.8422, 0.5441, 0.2034)

Computed properties:
* total DFT energy (no corrections): -6.712 eV/atom
* space group: No. 12
* energy relative to the elements, uncorrected: -1791 meV per atom


No. 2
## Na3PuPb2O6 (PBE)

Data for a geometry-optimized Na3PuPb2O6 structure.

Unit cell a=6.2622 b=6.2622 c=5.9847 alpha=100.00 beta=100.00 gamma=120.34
Positions (direct):
Na (0.0000, 0.0000, 0.0000)
Na (0.3435, 0.6565, 0.0000)
Na (0.6565, 0.3435, 0.0000)
Pu (0.5000, 0.5000, 0.5000)
Pb (0.1680, 0.8320, 0.5000)
Pb (0.8320, 0.1680, 0.5000)
O (0.1413, 0.4254, 0.2740)
O (0.2856, 0.2856, 0.7153)
O (0.4254, 0.1413, 0.2740)
O (0.5746, 0.8587, 0.7260)
O (0.7144, 0.7144, 0.2847)
O (0.8587, 0.5746, 0.7260)

Computed properties:
* total DFT energy (no corrections): -6.390 eV/atom
* space group: No. 12
* energy relative to the elements, uncorrected: -1768 meV per atom


No. 3
## Na2PuPbO6 (PBE)

Data for a geometry-optimized Na2PuPbO6 structure.

Unit cell a=5.9813 b=5.9813 c=5.9813 alpha=58.34 beta=58.34 gamma=58.34
Positions (direct):
Na (0.0000, 0.0000, 0.0000)
Na (0.4955, 0.4955, 0.4955)
Pu (0.7733, 0.7733, 0.7733)
Pb (0.2699, 0.2699, 0.2699)
O (0.0155, 0.4423, 0.6385)
O (0.1069, 0.9052, 0.5528)
O (0.4423, 0.6385, 0.0155)
O (0.5528, 0.1069, 0.9052)
O (0.6385, 0.0155, 0.4423)
O (0.9052, 0.5528, 0.1069)

Computed properties:
* total DFT energy (no corrections): -6.867 eV/atom
* space group: No. 146
* energy relative to the elements, uncorrected: -1824 meV per atom


No. 4
## Rb3NaPbO4 (PBE)

Data for a geometry-optimized Rb3NaPbO4 structure.

Unit cell a=11.1914 b=6.7937 c=11.2564 alpha=90.00 beta=111.61 gamma=90.00
Positions (direct):
Rb (0.0366, 0.1774, 0.1758)
Rb (0.0366, 0.3226, 0.6758)
Rb (0.3209, 0.6188, 0.8971)
Rb (0.3209, 0.8812, 0.3971)
Rb (0.4506, 0.0971, 0.8093)
Rb (0.4506, 0.4029, 0.3093)
Rb (0.5494, 0.5971, 0.6907)
Rb (0.5494, 0.9029, 0.1907)
Rb (0.6791, 0.1188, 0.6029)
Rb (0.6791, 0.3812, 0.1029)
Rb (0.9634, 0.6774, 0.3242)
Rb (0.9634, 0.8226, 0.8242)
Na (0.1228, 0.6232, 0.1089)
Na (0.1228, 0.8768, 0.6089)
Na (0.8772, 0.1232, 0.3911)
Na (0.8772, 0.3768, 0.8911)
Pb (0.2408, 0.1393, 0.9935)
Pb (0.2408, 0.3607, 0.4935)
Pb (0.7592, 0.6393, 0.5065)
Pb (0.7592, 0.8607, 0.0065)
O (0.1066, 0.1271, 0.4582)
O (0.1066, 0.3729, 0.9582)
O (0.2009, 0.9995, 0.8147)
O (0.2009, 0.5005, 0.3147)
O (0.2292, 0.5750, 0.6237)
O (0.2292, 0.9250, 0.1237)
O (0.4279, 0.2422, 0.5534)
O (0.4279, 0.2578, 0.0534)
O (0.5721, 0.7422, 0.9466)
O (0.5721, 0.7578, 0.4466)
O (0.7708, 0.0750, 0.8763)
O (0.7708, 0.4250, 0.3763)
O (0.7991, 0.0005, 0.1853)
O (0.7991, 0.4995, 0.6853)
O (0.8934, 0.6271, 0.0418)
O (0.8934, 0.8729, 0.5418)

Computed properties:
* total DFT energy (no corrections): -4.334 eV/atom
* space group: No. 14
* energy relative to the elements, uncorrected: -1249 meV per atom


No. 5
## Rb2NaPb3O8 (PBE)

Data for a geometry-optimized Rb2NaPb3O8 structure.

Unit cell a=8.0163 b=8.0163 c=8.0163 alpha=50.31 beta=50.31 gamma=50.31
Positions (direct):
Rb (0.0000, 0.0000, 0.0000)
Rb (0.3539, 0.3539, 0.3539)
Na (0.8362, 0.8362, 0.8362)
Pb (0.3570, 0.3570, 0.8561)
Pb (0.3570, 0.8561, 0.3570)
Pb (0.8561, 0.3570, 0.3570)
O (0.0826, 0.0826, 0.5590)
O (0.0826, 0.5590, 0.0826)
O (0.1336, 0.1336, 0.1336)
O (0.1695, 0.6130, 0.6130)
O (0.5590, 0.0826, 0.0826)
O (0.5793, 0.5793, 0.5793)
O (0.6130, 0.1695, 0.6130)
O (0.6130, 0.6130, 0.1695)

Computed properties:
* total DFT energy (no corrections): -4.887 eV/atom
* space group: No. 160
* energy relative to the elements, uncorrected: -1027 meV per atom


No. 6
## Na3Rh3PbO8 (PBE)

Data for a geometry-optimized Na3Rh3PbO8 structure.

Unit cell a=6.5348 b=6.5348 c=6.5348 alpha=58.48 beta=58.48 gamma=58.48
Positions (direct):
Na (0.0000, 0.5000, 0.5000)
Na (0.5000, 0.0000, 0.5000)
Na (0.5000, 0.5000, 0.0000)
Rh (0.0000, 0.0000, 0.5000)
Rh (0.0000, 0.5000, 0.0000)
Rh (0.5000, 0.0000, 0.0000)
Pb (0.5000, 0.5000, 0.5000)
O (0.2122, 0.7445, 0.7445)
O (0.2312, 0.2312, 0.2312)
O (0.2555, 0.2555, 0.7878)
O (0.2555, 0.7878, 0.2555)
O (0.7445, 0.2122, 0.7445)
O (0.7445, 0.7445, 0.2122)
O (0.7688, 0.7688, 0.7688)
O (0.7878, 0.2555, 0.2555)

Computed properties:
* total DFT energy (no corrections): -5.671 eV/atom
* space group: No. 166
* energy relative to the elements, uncorrected: -1046 meV per atom


No. 7
## Na2RhPb3O6 (PBE)

Data for a geometry-optimized Na2RhPb3O6 structure.

Unit cell a=6.1436 b=6.1436 c=5.8599 alpha=98.12 beta=98.12 gamma=121.06
Positions (direct):
Na (0.1725, 0.8275, 0.0000)
Na (0.8275, 0.1725, 0.0000)
Rh (0.5000, 0.5000, 0.0000)
Pb (0.0000, 0.0000, 0.5000)
Pb (0.3337, 0.6663, 0.5000)
Pb (0.6663, 0.3337, 0.5000)
O (0.1553, 0.4167, 0.7945)
O (0.3061, 0.3061, 0.2561)
O (0.4167, 0.1553, 0.7945)
O (0.5833, 0.8447, 0.2055)
O (0.6939, 0.6939, 0.7439)
O (0.8447, 0.5833, 0.2055)

Computed properties:
* total DFT energy (no corrections): -5.282 eV/atom
* space group: No. 12
* energy relative to the elements, uncorrected: -1044 meV per atom


No. 8
## NaRhPbO4 (PBE)

Data for a geometry-optimized NaRhPbO4 structure.

Unit cell a=6.5936 b=6.5936 c=6.5936 alpha=122.19 beta=118.20 gamma=89.70
Positions (direct):
Na (0.3765, 0.1265, 0.2500)
Na (0.6235, 0.8735, 0.7500)
Rh (0.0000, 0.0000, 0.5000)
Rh (0.0000, 0.5000, 0.0000)
Pb (0.0000, 0.5000, 0.5000)
Pb (0.5000, 0.5000, 0.0000)
O (0.1886, 0.7420, 0.4466)
O (0.2045, 0.2580, 0.9466)
O (0.2182, 0.2311, 0.5129)
O (0.2182, 0.7053, 0.9871)
O (0.7818, 0.2947, 0.0129)
O (0.7818, 0.7689, 0.4871)
O (0.7955, 0.7420, 0.0534)
O (0.8114, 0.2580, 0.5534)

Computed properties:
* total DFT energy (no corrections): -5.689 eV/atom
* space group: No. 74
* energy relative to the elements, uncorrected: -1087 meV per atom


No. 9
## Na2Rh2PbO6 (PBE)

Data for a geometry-optimized Na2Rh2PbO6 structure.

Unit cell a=5.6211 b=5.6211 c=5.8414 alpha=99.84 beta=99.84 gamma=121.13
Positions (direct):
Na (0.1703, 0.8297, 0.0000)
Na (0.8297, 0.1703, 0.0000)
Rh (0.3341, 0.6659, 0.5000)
Rh (0.6659, 0.3341, 0.5000)
Pb (0.0000, 0.0000, 0.5000)
O (0.0617, 0.4271, 0.6933)
O (0.2840, 0.2840, 0.3024)
O (0.4271, 0.0617, 0.6933)
O (0.5729, 0.9383, 0.3067)
O (0.7160, 0.7160, 0.6976)
O (0.9383, 0.5729, 0.3067)

Computed properties:
* total DFT energy (no corrections): -5.710 eV/atom
* space group: No. 12
* energy relative to the elements, uncorrected: -1092 meV per atom


No. 10
## Na4Rh3PbO8 (PBE)

Data for a geometry-optimized Na4Rh3PbO8 structure.

Unit cell a=6.5316 b=6.5316 c=6.5316 alpha=59.72 beta=59.72 gamma=59.72
Positions (direct):
Na (0.0000, 0.0000, 0.0000)
Na (0.0000, 0.5000, 0.5000)
Na (0.5000, 0.0000, 0.5000)
Na (0.5000, 0.5000, 0.0000)
Rh (0.0000, 0.0000, 0.5000)
Rh (0.0000, 0.5000, 0.0000)
Rh (0.5000, 0.0000, 0.0000)
Pb (0.5000, 0.5000, 0.5000)
O (0.2046, 0.7528, 0.7528)
O (0.2303, 0.2303, 0.2303)
O (0.2472, 0.2472, 0.7954)
O (0.2472, 0.7954, 0.2472)
O (0.7528, 0.2046, 0.7528)
O (0.7528, 0.7528, 0.2046)
O (0.7697, 0.7697, 0.7697)
O (0.7954, 0.2472, 0.2472)

Computed properties:
* total DFT energy (no corrections): -5.504 eV/atom
* space group: No. 166
* energy relative to the elements, uncorrected: -1085 meV per atom


No. 11
## Na2Rh3PbO8 (PBE)

Data for a geometry-optimized Na2Rh3PbO8 structure.

Unit cell a=6.5810 b=6.5810 c=6.5810 alpha=57.35 beta=57.35 gamma=57.35
Positions (direct):
Na (0.0000, 0.0000, 0.0000)
Na (0.3711, 0.3711, 0.3711)
Rh (0.4883, 0.9989, 0.9989)
Rh (0.9989, 0.4883, 0.9989)
Rh (0.9989, 0.9989, 0.4883)
Pb (0.6134, 0.6134, 0.6134)
O (0.1842, 0.7520, 0.7520)
O (0.2273, 0.2273, 0.2273)
O (0.2547, 0.2547, 0.7995)
O (0.2547, 0.7995, 0.2547)
O (0.7520, 0.1842, 0.7520)
O (0.7520, 0.7520, 0.1842)
O (0.7689, 0.7689, 0.7689)
O (0.7995, 0.2547, 0.2547)

Computed properties:
* total DFT energy (no corrections): -5.860 eV/atom
* space group: No. 160
* energy relative to the elements, uncorrected: -998 meV per atom


No. 12
## Na3Rh2PbO6 (PBE)

Data for a geometry-optimized Na3Rh2PbO6 structure.

Unit cell a=5.6818 b=5.6818 c=5.7401 alpha=99.57 beta=99.57 gamma=120.08
Positions (direct):
Na (0.0000, 0.0000, 0.0000)
Na (0.3320, 0.6680, 0.0000)
Na (0.6680, 0.3320, 0.0000)
Rh (0.1668, 0.8332, 0.5000)
Rh (0.8332, 0.1668, 0.5000)
Pb (0.5000, 0.5000, 0.5000)
O (0.0619, 0.4312, 0.2933)
O (0.2019, 0.2019, 0.7103)
O (0.4312, 0.0619, 0.2933)
O (0.5688, 0.9381, 0.7067)
O (0.7981, 0.7981, 0.2897)
O (0.9381, 0.5688, 0.7067)

Computed properties:
* total DFT energy (no corrections): -5.447 eV/atom
* space group: No. 12
* energy relative to the elements, uncorrected: -1104 meV per atom


No. 13
## NaRuPb2O6 (PBE)

Data for a geometry-optimized NaRuPb2O6 structure.

Unit cell a=5.6487 b=5.8834 c=9.9073 alpha=90.00 beta=123.44 gamma=90.00
Positions (direct):
Na (0.0000, 0.0000, 0.0000)
Na (0.0000, 0.5000, 0.5000)
Ru (0.5000, 0.0000, 0.5000)
Ru (0.5000, 0.5000, 0.0000)
Pb (0.2150, 0.0483, 0.7336)
Pb (0.2150, 0.4517, 0.2336)
Pb (0.7850, 0.5483, 0.7664)
Pb (0.7850, 0.9517, 0.2664)
O (0.1720, 0.1773, 0.4543)
O (0.1720, 0.3227, 0.9543)
O (0.2492, 0.7358, 0.4152)
O (0.2492, 0.7642, 0.9152)
O (0.4088, 0.0739, 0.2838)
O (0.4088, 0.4261, 0.7838)
O (0.5912, 0.5739, 0.2162)
O (0.5912, 0.9261, 0.7162)
O (0.7508, 0.2358, 0.0848)
O (0.7508, 0.2642, 0.5848)
O (0.8280, 0.6773, 0.0457)
O (0.8280, 0.8227, 0.5457)

Computed properties:
* total DFT energy (no corrections): -5.879 eV/atom
* space group: No. 14
* energy relative to the elements, uncorrected: -1102 meV per atom


No. 14
## NaRuPbO6 (PBE)

Data for a geometry-optimized NaRuPbO6 structure.

Unit cell a=5.5656 b=5.5656 c=9.8513 alpha=90.00 beta=90.00 gamma=120.00
Positions (direct):
Na (0.0000, 0.0000, 0.0000)
Na (0.0000, 0.0000, 0.5000)
Ru (0.3333, 0.6667, 0.2500)
Ru (0.6667, 0.3333, 0.7500)
Pb (0.3333, 0.6667, 0.7500)
Pb (0.6667, 0.3333, 0.2500)
O (0.0421, 0.3997, 0.1383)
O (0.0421, 0.6424, 0.3617)
O (0.3576, 0.3997, 0.3617)
O (0.3576, 0.9579, 0.1383)
O (0.3997, 0.0421, 0.6383)
O (0.3997, 0.3576, 0.8617)
O (0.6003, 0.6424, 0.1383)
O (0.6003, 0.9579, 0.3617)
O (0.6424, 0.0421, 0.8617)
O (0.6424, 0.6003, 0.6383)
O (0.9579, 0.3576, 0.6383)
O (0.9579, 0.6003, 0.8617)

Computed properties:
* total DFT energy (no corrections): -5.705 eV/atom
* space group: No. 163
* energy relative to the elements, uncorrected: -811 meV per atom


No. 15
## NaRuPbO5 (PBE)

Data for a geometry-optimized NaRuPbO5 structure.

Unit cell a=6.2197 b=6.2197 c=7.9842 alpha=104.61 beta=104.61 gamma=101.61
Positions (direct):
Na (0.1807, 0.8193, 0.7500)
Na (0.8193, 0.1807, 0.2500)
Ru (0.1590, 0.8410, 0.2500)
Ru (0.8410, 0.1590, 0.7500)
Pb (0.5000, 0.5000, 0.0000)
Pb (0.5000, 0.5000, 0.5000)
O (0.1262, 0.2117, 0.9056)
O (0.1694, 0.6378, 0.3761)
O (0.2117, 0.1262, 0.4056)
O (0.3622, 0.8306, 0.1239)
O (0.4192, 0.5808, 0.7500)
O (0.5808, 0.4192, 0.2500)
O (0.6378, 0.1694, 0.8761)
O (0.7883, 0.8738, 0.5944)
O (0.8306, 0.3622, 0.6239)
O (0.8738, 0.7883, 0.0944)

Computed properties:
* total DFT energy (no corrections): -5.866 eV/atom
* space group: No. 15
* energy relative to the elements, uncorrected: -979 meV per atom


No. 16
## Na2RuPb2O6 (PBE)

Data for a geometry-optimized Na2RuPb2O6 structure.

Unit cell a=5.7185 b=5.7185 c=5.8660 alpha=101.37 beta=101.37 gamma=113.27
Positions (direct):
Na (0.1514, 0.8486, 0.0000)
Na (0.8486, 0.1514, 0.0000)
Ru (0.5000, 0.5000, 0.0000)
Pb (0.3179, 0.6821, 0.5000)
Pb (0.6821, 0.3179, 0.5000)
O (0.1635, 0.4601, 0.7865)
O (0.3129, 0.3129, 0.2152)
O (0.4601, 0.1635, 0.7865)
O (0.5399, 0.8365, 0.2135)
O (0.6871, 0.6871, 0.7848)
O (0.8365, 0.5399, 0.2135)

Computed properties:
* total DFT energy (no corrections): -5.600 eV/atom
* space group: No. 12
* energy relative to the elements, uncorrected: -1138 meV per atom


No. 17
## NaRuPbO4 (PBE)

Data for a geometry-optimized NaRuPbO4 structure.

Unit cell a=6.6992 b=6.6992 c=6.6992 alpha=123.56 beta=118.41 gamma=88.36
Positions (direct):
Na (0.3733, 0.1233, 0.2500)
Na (0.6267, 0.8767, 0.7500)
Ru (0.0000, 0.0000, 0.5000)
Ru (0.0000, 0.5000, 0.0000)
Pb (0.0000, 0.5000, 0.5000)
Pb (0.5000, 0.5000, 0.0000)
O (0.1871, 0.7430, 0.4440)
O (0.2010, 0.2570, 0.9440)
O (0.2058, 0.2084, 0.5026)
O (0.2058, 0.7031, 0.9974)
O (0.7942, 0.2969, 0.0026)
O (0.7942, 0.7916, 0.4974)
O (0.7990, 0.7430, 0.0560)
O (0.8129, 0.2570, 0.5560)

Computed properties:
* total DFT energy (no corrections): -5.986 eV/atom
* space group: No. 74
* energy relative to the elements, uncorrected: -1110 meV per atom


No. 18
## NaRu3Pb2O8 (PBE)

Data for a geometry-optimized NaRu3Pb2O8 structure.

Unit cell a=6.9311 b=6.9311 c=6.9311 alpha=53.36 beta=53.36 gamma=53.36
Positions (direct):
Na (0.0000, 0.0000, 0.0000)
Ru (0.1076, 0.6321, 0.6321)
Ru (0.6321, 0.1076, 0.6321)
Ru (0.6321, 0.6321, 0.1076)
Pb (0.2479, 0.2479, 0.2479)
Pb (0.6245, 0.6245, 0.6245)
O (0.3673, 0.3673, 0.8213)
O (0.3673, 0.8213, 0.3673)
O (0.4102, 0.4102, 0.4102)
O (0.4228, 0.8795, 0.8795)
O (0.8213, 0.3673, 0.3673)
O (0.8596, 0.8596, 0.8596)
O (0.8795, 0.4228, 0.8795)
O (0.8795, 0.8795, 0.4228)

Computed properties:
* total DFT energy (no corrections): -6.415 eV/atom
* space group: No. 160
* energy relative to the elements, uncorrected: -970 meV per atom